[1]
TeS, relaxed, DFT PBE; formation energy without anion corrections = 619.8 meV per atom; Fermi-level density of states = 0.892 states/eV/atom
1.0
6.4690 0.0000 0.0000
0.0000 6.4690 0.0000
0.0000 0.0000 6.4690
S Te
4 4
direct
0.2500 0.2500 0.2500
0.7500 0.2500 0.7500
0.2500 0.7500 0.7500
0.7500 0.7500 0.2500
0.0000 0.0000 0.0000
0.5000 0.5000 0.0000
0.0000 0.5000 0.5000
0.5000 0.0000 0.5000

[2]
TeS, relaxed, DFT PBE; formation energy without anion corrections = 210.7 meV per atom; Fermi-level density of states = 0.129 states/eV/atom
1.0
4.4695 1.5843 -0.2749
-1.2995 3.4712 -0.2552
1.8075 1.1569 7.1048
Te S
2 2
direct
0.4496 0.7388 0.6741
0.5504 0.2612 0.3259
0.1195 0.2523 0.8258
0.8805 0.7477 0.1742

Q: Which of these has the highest Fermi-level density of states?
A: number 1